(1)
Entry from the Alexandria database: Na7SnPb2 after structural relaxation (PBE).

## Properties
ΔH_f (0 K)	0.2	eV per formula unit
total energy	-2.047	eV/atom

Lattice parameters (Å, degrees): 3.5210 10.5314 10.5315 119.96 90.00 90.00
Closest atoms and distances in Å follow each position.
Atoms (fractional coordinates):
1 Na 0.0000 0.8107 0.1893  2 Pb 3.15, 6 Na 3.40-3.52, 1 Sn 3.45
2 Na 0.0000 0.1893 0.8107  2 Pb 3.15, 6 Na 3.40-3.52, 1 Sn 3.45
3 Na 0.5000 0.1265 0.3126  1 Pb 3.25, 2 Sn 3.37, 6 Na 3.39-3.52
4 Na 0.5000 0.8735 0.6874  1 Pb 3.25, 2 Sn 3.37, 6 Na 3.39-3.52
5 Na 0.5000 0.3126 0.1265  1 Pb 3.25, 2 Sn 3.37, 6 Na 3.39-3.52
6 Na 0.5000 0.6874 0.8735  1 Pb 3.25, 2 Sn 3.37, 6 Na 3.39-3.52
7 Na 0.5000 0.5000 0.5000  2 Pb 3.06, 4 Na 3.41
8 Sn 0.0000 0.0000 0.0000  10 Na 3.37-3.45, 2 Sn 3.52
9 Pb 0.5000 0.6676 0.3324  5 Na 3.06-3.25
10 Pb 0.5000 0.3324 0.6676  5 Na 3.06-3.25

---

(2)
Entry from the Alexandria database: ErTm3Pb4 after structural relaxation (PBE).

## Properties
ΔH_f (0 K)	-3.2	eV per formula unit
total energy	-4.500	eV/atom

Lattice parameters (Å, degrees): 6.3504 6.3503 11.0626 90.00 90.00 90.00
Closest atoms and distances in Å follow each position.
Atoms (fractional coordinates):
1 Er 0.9394 0.5005 0.0000  4 Pb 3.17-3.18
2 Er 0.4394 0.4995 0.5000  4 Pb 3.17-3.18
3 Tm 0.4391 0.9999 0.0000  4 Pb 3.17-3.18
4 Tm 0.1896 0.7509 0.2501  4 Pb 3.17-3.18
5 Tm 0.6896 0.2491 0.2499  4 Pb 3.17-3.18
6 Tm 0.9391 0.0001 0.5000  4 Pb 3.17-3.18
7 Tm 0.6896 0.2491 0.7501  4 Pb 3.17-3.18
8 Tm 0.1896 0.7509 0.7499  4 Pb 3.17-3.18
9 Pb 0.9391 0.0004 0.0000  2 Er 3.17-3.18, 2 Tm 3.18
10 Pb 0.4393 0.5000 0.0000  2 Er 3.17-3.18, 2 Tm 3.17-3.18
11 Pb 0.1896 0.2506 0.2500  4 Tm 3.17-3.18
12 Pb 0.6896 0.7494 0.2500  4 Tm 3.17-3.18
13 Pb 0.9393 0.5000 0.5000  2 Er 3.17-3.18, 2 Tm 3.17-3.18
14 Pb 0.4391 0.9996 0.5000  2 Er 3.17-3.18, 2 Tm 3.18
15 Pb 0.6896 0.7494 0.7500  4 Tm 3.17-3.18
16 Pb 0.1896 0.2506 0.7500  4 Tm 3.17-3.18

---

(3)
Entry from the Alexandria database: AgIrCl5 after structural relaxation (PBE).

## Properties
total energy	-3.357	eV/atom
formation energy without anion corrections	-0.364	eV/atom
distance to the lowest polymorph of the same formula	0.00	eV per formula unit

Lattice parameters (Å, degrees): 6.7350 6.7350 9.4933 108.61 108.61 103.88
Closest atoms and distances in Å follow each position.
Atoms (fractional coordinates):
1 Ag 0.9189 0.5811 0.2500  5 Cl 2.61-2.90
2 Ag 0.0811 0.4189 0.7500  5 Cl 2.61-2.90
3 Ir 0.0000 0.0000 0.0000  6 Cl 2.33-2.35
4 Ir 0.5000 0.5000 0.5000  6 Cl 2.33-2.35
5 Cl 0.7761 0.8184 0.0997  1 Ir 2.33
6 Cl 0.6892 0.2564 0.4405  1 Ir 2.35
7 Cl 0.3184 0.2761 0.5997  1 Ir 2.33
8 Cl 0.1731 0.3269 0.2500  2 Ir 2.35
9 Cl 0.2436 0.8108 0.0595  1 Ir 2.35
10 Cl 0.7564 0.1892 0.9405  1 Ir 2.35
11 Cl 0.8269 0.6731 0.7500  2 Ir 2.35
12 Cl 0.6816 0.7239 0.4003  1 Ir 2.33
13 Cl 0.3108 0.7436 0.5595  1 Ir 2.35
14 Cl 0.2239 0.1816 0.9003  1 Ir 2.33